[1]
Entry from the Alexandria database: a relaxed structure of CoTcSe2 (GGA-PBE).

Cell lengths 6.8745, 6.8745, 6.8745 Å; angles 152.28, 152.48, 39.46 degrees
Fractional positions:
Co 0.2346 0.7346 0.5000
Tc 0.5689 0.5689 0.0000
Se 0.7232 0.2232 0.5000
Se 0.9734 0.9734 0.0000

Results
Crystal system: orthorhombic
Space group: Imm2



[2]
Entry from the Alexandria database: a relaxed structure of Li3ZnCd12 (GGA-PBE).

Cell lengths 4.2999, 4.2999, 17.9001 Å; angles 90.00, 90.00, 90.00 degrees
Fractional positions:
Cd 0.0000 0.5000 0.8744
Cd 0.5000 0.0000 0.1256
Cd 0.5000 0.0000 0.6244
Cd 0.0000 0.5000 0.3756
Cd 0.5000 0.0000 0.3756
Cd 0.5000 0.0000 0.8744
Cd 0.5000 0.5000 0.2502
Cd 0.0000 0.5000 0.1256
Cd 0.0000 0.5000 0.6244
Cd 0.5000 0.5000 0.0000
Cd 0.5000 0.5000 0.7498
Cd 0.5000 0.5000 0.5000
Li 0.0000 0.0000 0.5000
Li 0.0000 0.0000 0.2508
Li 0.0000 0.0000 0.7492
Zn 0.0000 0.0000 0.0000

Results
Crystal system: tetragonal
Energy of formation, eV/atom: -0.102
Space group: P4/mmm



[3]
Entry from the Alexandria database: a relaxed structure of SrIrCl (GGA-PBE).

Cell lengths 4.7891, 4.7891, 4.7891 Å; angles 60.00, 60.00, 60.00 degrees
Fractional positions:
Ir 0.2500 0.2500 0.2500
Cl 0.0000 0.0000 0.0000
Sr 0.7500 0.7500 0.7500

Results
Crystal system: cubic
Space group: F-43m



[4]
Entry from the Alexandria database: a relaxed structure of Pr3Al2GaPt9 (GGA-PBE).

Cell lengths 6.4561, 6.4561, 9.1306 Å; angles 90.00, 90.00, 120.00 degrees
Fractional positions:
Pr 0.6667 0.3333 0.2828
Pr 0.3333 0.6667 0.7172
Pr 0.0000 0.0000 0.0000
Pt 0.5000 0.5000 0.0000
Pt 0.0000 0.5000 0.0000
Pt 0.5000 0.0000 0.0000
Pt 0.1407 0.8593 0.2838
Pt 0.2814 0.1407 0.7162
Pt 0.7186 0.8593 0.2838
Pt 0.1407 0.2814 0.2838
Pt 0.8593 0.1407 0.7162
Pt 0.8593 0.7186 0.7162
Ga 0.0000 0.0000 0.5000
Al 0.6667 0.3333 0.8189
Al 0.3333 0.6667 0.1811

Results
Crystal system: trigonal
Energy of formation, eV/atom: -0.684
Space group: P-3m1



Number 1: D(E_F) 3.81 states/eV per cell, total energy -6.029 eV/atom. Number 2: D(E_F) 5.63 states/eV per cell, total energy -1.226 eV/atom. Number 3: D(E_F) 13.42 states/eV per cell, total energy -3.919 eV/atom. Number 4: D(E_F) 5.63 states/eV per cell, total energy -5.966 eV/atom.